1.
Computed, not measured: crystalline ZnAg5 at its relaxed geometry at the PBE level of DFT.

Lattice parameters (Å, degrees): 5.0870 8.5602 5.0904 90.00 110.25 90.00
Last column: nearest neighbours and their distance in Å.
Space group P2_1/m (No. 11)
Asymmetric unit:
Zn (0.2492, 0.2500, 0.4993) (multiplicity 2)  12 Ag 2.84-2.93
Ag (0.2496, 0.0858, 0.9999) (multiplicity 4)  10 Ag 2.81-2.94, 2 Zn 2.91
Ag (0.2502, 0.5818, 0.5005) (multiplicity 4)  3 Zn 2.84-2.93, 9 Ag 2.88-2.93
Ag (0.2509, 0.7500, 0.0010) (multiplicity 2)  10 Ag 2.87-2.93, 2 Zn 2.91

Properties
V, Å³ per cell: 208.0
DOS at the Fermi energy, states/eV per atom: 0.2818
ρ, kg/m3: 9658
Raw total energy, eV per atom: -2.584
Magnetic moment, μB/f.u.: 0.00

2.
Computed, not measured: crystalline RbSN2O at its relaxed geometry at the PBE level of DFT.

Lattice parameters (Å, degrees): 5.5239 5.5239 3.4759 90.00 90.00 90.00
Last column: nearest neighbours and their distance in Å.
Space group P4/mmm (No. 123)
Asymmetric unit:
Rb (0.0000, 0.0000, 0.0000) (multiplicity 1)  8 N 3.26, 2 Rb 3.48
S (0.5000, 0.5000, 0.0000) (multiplicity 1)  2 O 1.74
N (0.0000, 0.5000, 0.5000) (multiplicity 2)  2 O 2.76
O (0.5000, 0.5000, 0.5000) (multiplicity 1)  2 S 1.74

Properties
Formation energy from raw total energies, eV per atom: 1.657
V, Å³ per cell: 106.1
DOS at the Fermi energy, states/eV per atom: 0.5097
ρ, kg/m3: 2529
Raw total energy, eV per atom: -3.684
Magnetic moment, μB/f.u.: 5.25

3.
Computed, not measured: crystalline IrRu5 at its relaxed geometry at the PBE level of DFT.

Lattice parameters (Å, degrees): 2.7094 2.7094 11.4778 90.00 90.00 90.00
Last column: nearest neighbours and their distance in Å.
Space group P4/mmm (No. 123)
Asymmetric unit:
Ir (0.0000, 0.0000, 0.0000) (multiplicity 1)  4 Ir 2.71, 8 Ru 2.72
Ru (0.0000, 0.0000, 0.3337) (multiplicity 2)  12 Ru 2.69-2.71
Ru (0.5000, 0.5000, 0.1687) (multiplicity 2)  8 Ru 2.69-2.71, 4 Ir 2.72
Ru (0.5000, 0.5000, 0.5000) (multiplicity 1)  12 Ru 2.70-2.71

Properties
V, Å³ per cell: 84.3
DOS at the Fermi energy, states/eV per atom: 1.2103
ρ, kg/m3: 13747
Raw total energy, eV per atom: -9.134
Magnetic moment, μB/f.u.: 0.00

4.
Computed, not measured: crystalline DyEr2MgTl4 at its relaxed geometry at the PBE level of DFT.

Lattice parameters (Å, degrees): 5.2370 5.2370 26.5941 90.00 90.00 120.00
Last column: nearest neighbours and their distance in Å.
Space group R-3m (No. 166, hexagonal axes)
Asymmetric unit:
Dy (0.0000, 0.0000, 0.0000) (multiplicity 3)  8 Tl 3.23-3.31
Er (0.0000, 0.0000, 0.2445) (multiplicity 6)  8 Tl 3.17-3.50
Mg (0.0000, 0.0000, 0.5000) (multiplicity 3)  8 Tl 3.22-3.29
Tl (0.0000, 0.0000, 0.1246) (multiplicity 6)  4 Er 3.17-3.19, 3 Mg 3.22, 1 Dy 3.31
Tl (0.0000, 0.0000, 0.3761) (multiplicity 6)  3 Dy 3.23, 4 Er 3.26-3.50, 1 Mg 3.29

Properties
V, Å³ per cell: 631.7
DOS at the Fermi energy, states/eV per atom: 0.5180
ρ, kg/m3: 10559
Raw total energy, eV per atom: -3.370
Magnetic moment, μB/f.u.: 0.00

5.
Computed, not measured: crystalline Ni2Ir5Rh4 at its relaxed geometry at the PBE level of DFT.

Lattice parameters (Å, degrees): 6.6475 2.6963 8.6863 90.00 95.01 90.00
Last column: nearest neighbours and their distance in Å.
Space group P2/m (No. 10)
Asymmetric unit:
Ni (0.0605, 0.0000, 0.1316) (multiplicity 2)  1 Ni 2.36, 2 Ir 2.50-2.53
Ir (0.1922, 0.0000, 0.6674) (multiplicity 2)  1 Ni 2.53, 4 Ir 2.61-2.70, 6 Rh 2.71-2.77
Ir (0.4343, 0.0000, 0.2002) (multiplicity 2)  1 Ni 2.50, 4 Ir 2.60-2.70, 4 Rh 2.68-2.72
Ir (0.5000, 0.0000, 0.5000) (multiplicity 1)  6 Ir 2.60-2.70, 4 Rh 2.73
Rh (0.1606, 0.5000, 0.3909) (multiplicity 2)  2 Ni 2.66, 3 Rh 2.70-2.98, 8 Ir 2.71-2.90
Rh (0.2865, 0.5000, 0.9422) (multiplicity 2)  6 Ir 2.68-2.77, 4 Ni 2.69-2.70, 3 Rh 2.70-2.93

Properties
V, Å³ per cell: 155.1
DOS at the Fermi energy, states/eV per atom: 1.4542
ρ, kg/m3: 15954
Raw total energy, eV per atom: -7.616
Magnetic moment, μB/f.u.: 1.41

6.
Computed, not measured: crystalline Sr2InHg6Au at its relaxed geometry at the PBE level of DFT.

Lattice parameters (Å, degrees): 5.4588 7.0641 7.7577 82.67 72.85 87.81
Last column: nearest neighbours and their distance in Å.
Space group P-1 (No. 2)
Asymmetric unit:
Sr (0.1327, 0.2302, 0.2983) (multiplicity 2)  1 Au 3.16, 8 Hg 3.35-3.52
In (0.5000, 0.5000, 0.5000) (multiplicity 1)  6 Hg 3.04-3.21
Hg (0.1593, 0.7172, 0.2635) (multiplicity 2)  1 Au 2.94, 2 Hg 3.03-3.07, 1 In 3.20
Hg (0.2880, 0.5518, 0.8996) (multiplicity 2)  1 In 3.04, 3 Hg 3.07-3.17, 1 Sr 3.35
Hg (0.3457, 0.0701, 0.6781) (multiplicity 2)  1 Au 2.84, 2 Hg 3.03-3.05
Au (0.5000, 0.0000, 0.0000) (multiplicity 1)  4 Hg 2.84-2.94, 2 Sr 3.16

Properties
V, Å³ per cell: 283.5
DOS at the Fermi energy, states/eV per atom: 0.3432
ρ, kg/m3: 9901
Raw total energy, eV per atom: -1.420
Magnetic moment, μB/f.u.: 0.00

7.
Computed, not measured: crystalline TlInPt2 at its relaxed geometry at the PBE level of DFT.

Lattice parameters (Å, degrees): 11.2427 2.9952 4.7663 90.00 103.54 90.00
Last column: nearest neighbours and their distance in Å.
Space group Cm (No. 8)
Asymmetric unit:
Tl (0.0000, 0.0000, 0.0000) (multiplicity 2)  7 Pt 2.82-3.15, 2 Tl 3.00
In (0.2132, 0.0000, 0.6308) (multiplicity 2)  7 Pt 2.85-3.13, 2 In 3.00
Pt (0.2538, 0.5000, 0.1540) (multiplicity 2)  4 In 2.85, 4 Pt 2.98-3.00, 3 Tl 3.03-3.15
Pt (0.4705, 0.0000, 0.4857) (multiplicity 2)  4 Tl 2.82-2.84, 4 Pt 2.98-3.00, 3 In 3.05-3.13

Properties
V, Å³ per cell: 156.0
DOS at the Fermi energy, states/eV per atom: 0.2355
ρ, kg/m3: 15097
Raw total energy, eV per atom: -4.419
Magnetic moment, μB/f.u.: 0.00

8.
Computed, not measured: crystalline MnTeI3 at its relaxed geometry at the PBE level of DFT.

Lattice parameters (Å, degrees): 5.6338 5.6338 5.6338 90.00 90.00 90.00
Last column: nearest neighbours and their distance in Å.
Space group Pm-3m (No. 221)
Asymmetric unit:
Mn (0.0000, 0.0000, 0.0000) (multiplicity 1)  6 I 2.82
Te (0.5000, 0.5000, 0.5000) (multiplicity 1)  12 I 3.98
I (0.0000, 0.0000, 0.5000) (multiplicity 3)  2 Mn 2.82

Properties
Formation energy from raw total energies, eV per atom: 0.171
V, Å³ per cell: 178.8
DOS at the Fermi energy, states/eV per atom: 0.7155
ρ, kg/m3: 5230
Raw total energy, eV per atom: -3.222
Magnetic moment, μB/f.u.: 2.00

9.
Computed, not measured: crystalline ZrTa3O at its relaxed geometry at the PBE level of DFT.

Lattice parameters (Å, degrees): 4.3577 4.3577 4.3577 90.00 90.00 90.00
Last column: nearest neighbours and their distance in Å.
Space group Pm-3m (No. 221)
Asymmetric unit:
Zr (0.0000, 0.0000, 0.0000) (multiplicity 1)  12 Ta 3.08
Ta (0.0000, 0.5000, 0.5000) (multiplicity 3)  2 O 2.18
O (0.5000, 0.5000, 0.5000) (multiplicity 1)  6 Ta 2.18

Properties
Formation energy from raw total energies, eV per atom: -0.604
V, Å³ per cell: 82.7
DOS at the Fermi energy, states/eV per atom: 0.5218
ρ, kg/m3: 13045
Raw total energy, eV per atom: -10.417
Magnetic moment, μB/f.u.: 0.00

10.
Computed, not measured: crystalline PbAuCl3 at its relaxed geometry at the PBE level of DFT.

Lattice parameters (Å, degrees): 5.5218 5.5218 5.5218 90.00 90.00 90.00
Last column: nearest neighbours and their distance in Å.
Space group Pm-3m (No. 221)
Asymmetric unit:
Pb (0.0000, 0.0000, 0.0000) (multiplicity 1)  6 Cl 2.76
Au (0.5000, 0.5000, 0.5000) (multiplicity 1)  12 Cl 3.90
Cl (0.0000, 0.0000, 0.5000) (multiplicity 3)  2 Pb 2.76

Properties
Formation energy from raw total energies, eV per atom: -0.192
V, Å³ per cell: 168.4
DOS at the Fermi energy, states/eV per atom: 0.3931
ρ, kg/m3: 5035
Raw total energy, eV per atom: -2.697
Magnetic moment, μB/f.u.: 0.00